[1]
The following is a DFT calculation (PBE) of a relaxed structure of KRb2Zr.

a = 6.8304 Å, b = 6.8304 Å, c = 6.8304 Å
α = 60.00°, β = 60.00°, γ = 60.00°
With the nearest neighbours (Å) after each atom.
Positions (direct):
Rb: 0.2500 0.2500 0.2500  4 Zr 4.18, 4 K 4.18
Zr: 0.5000 0.5000 0.5000  8 Rb 4.18
Rb: 0.7500 0.7500 0.7500  4 Zr 4.18, 4 K 4.18
K: 0.0000 0.0000 0.0000  8 Rb 4.18

Properties
* uncorrected energy: -1.884 eV per atom
* ΔH_f (0 K): 1.01 eV/atom
* space group: Fm-3m, No. 225
* E above lowest polymorph: 0.00 eV/f.u.

---

[2]
The following is a DFT calculation (PBE) of a relaxed structure of KRb2Zr4.

a = 5.2504 Å, b = 5.2504 Å, c = 10.6020 Å
α = 75.66°, β = 75.66°, γ = 90.00°
With the nearest neighbours (Å) after each atom.
Positions (direct):
Rb: 0.6640 0.6640 0.6719  9 Zr 3.79-4.19
Rb: 0.3360 0.3360 0.3281  9 Zr 3.79-4.19
Zr: 0.1251 0.1251 0.7497  1 K 2.49
Zr: 0.8749 0.8749 0.2503  1 K 2.49
Zr: 0.5000 0.0000 0.0000  2 K 2.63
K: 0.0000 0.0000 0.0000  6 Zr 2.49-2.63
Zr: 0.0000 0.5000 0.0000  2 K 2.63

Properties
* uncorrected energy: -3.258 eV per atom
* ΔH_f (0 K): 2.06 eV/atom
* space group: I4/mmm, No. 139

---

[3]
The following is a DFT calculation (PBE) of a relaxed structure of KRbZr3.

a = 5.4555 Å, b = 5.4555 Å, c = 5.4555 Å
α = 90.00°, β = 90.00°, γ = 90.00°
With the nearest neighbours (Å) after each atom.
Positions (direct):
Zr: 0.0000 0.0000 0.5000  2 K 2.73
Zr: 0.0000 0.5000 0.0000  2 K 2.73
Rb: 0.5000 0.5000 0.5000  12 Zr 3.86
Zr: 0.5000 0.0000 0.0000  2 K 2.73
K: 0.0000 0.0000 0.0000  6 Zr 2.73

Properties
* uncorrected energy: -3.429 eV per atom
* ΔH_f (0 K): 2.11 eV/atom
* space group: Pm-3m, No. 221
* E above lowest polymorph: 0.00 eV/f.u.

---

[4]
The following is a DFT calculation (PBE) of a relaxed structure of K2RbZr.

a = 10.5900 Å, b = 10.5900 Å, c = 8.4965 Å
α = 51.45°, β = 51.45°, γ = 90.00°
With the nearest neighbours (Å) after each atom.
Positions (direct):
Zr: 0.0000 0.0000 0.0000  4 K 3.75, 2 Rb 4.01
Zr: 0.7500 0.2500 0.5000  4 K 3.75, 2 Rb 4.01
Rb: 0.5000 0.5000 0.0000  4 K 4.00, 2 Zr 4.01
Rb: 0.2500 0.7500 0.5000  4 K 4.00, 2 Zr 4.01
K: 0.3750 0.3579 0.7500  2 Zr 3.75, 2 Rb 4.00, 2 K 4.03
K: 0.1079 0.6250 0.2500  2 Zr 3.75, 2 Rb 4.00, 2 K 4.03
K: 0.8750 0.8921 0.7500  2 Zr 3.75, 2 Rb 4.00, 2 K 4.03
K: 0.6421 0.1250 0.2500  2 Zr 3.75, 2 Rb 4.00, 2 K 4.03

Properties
* uncorrected energy: -1.843 eV per atom
* ΔH_f (0 K): 1.08 eV/atom
* space group: I-42d, No. 122
* E above lowest polymorph: 0.41 eV/f.u.

---

[5]
The following is a DFT calculation (PBE) of a relaxed structure of KRb3Zr.

a = 7.2607 Å, b = 7.2607 Å, c = 7.2607 Å
α = 90.00°, β = 90.00°, γ = 90.00°
With the nearest neighbours (Å) after each atom.
Positions (direct):
Zr: 0.0000 0.0000 0.0000  6 Rb 3.63
K: 0.5000 0.5000 0.5000  12 Rb 5.13
Rb: 0.5000 0.0000 0.0000  2 Zr 3.63
Rb: 0.0000 0.5000 0.0000  2 Zr 3.63
Rb: 0.0000 0.0000 0.5000  2 Zr 3.63

Properties
* uncorrected energy: -1.611 eV per atom
* ΔH_f (0 K): 0.90 eV/atom
* space group: Pm-3m, No. 221

---

[6]
The following is a DFT calculation (PBE) of a relaxed structure of KRb2Zr.

a = 10.8499 Å, b = 10.8499 Å, c = 8.6744 Å
α = 51.29°, β = 51.29°, γ = 90.00°
With the nearest neighbours (Å) after each atom.
Positions (direct):
K: 0.5000 0.5000 0.0000  2 Zr 4.05, 4 Rb 4.05
K: 0.2500 0.7500 0.5000  2 Zr 4.05, 4 Rb 4.05
Rb: 0.6366 0.1250 0.2500  2 Zr 3.88, 2 K 4.05, 2 Rb 4.06
Zr: 0.7500 0.2500 0.5000  4 Rb 3.88, 2 K 4.05
Rb: 0.1134 0.6250 0.2500  2 Zr 3.88, 2 K 4.05, 2 Rb 4.06
Rb: 0.3750 0.3634 0.7500  2 Zr 3.88, 2 K 4.05, 2 Rb 4.06
Zr: 0.0000 0.0000 0.0000  4 Rb 3.88, 2 K 4.05
Rb: 0.8750 0.8866 0.7500  2 Zr 3.88, 2 K 4.05, 2 Rb 4.06

Properties
* uncorrected energy: -1.792 eV per atom
* ΔH_f (0 K): 1.10 eV/atom
* space group: I-42d, No. 122
* E above lowest polymorph: 0.37 eV/f.u.

---

[7]
The following is a DFT calculation (PBE) of a relaxed structure of K2RbZr.

a = 6.6820 Å, b = 6.6820 Å, c = 6.6820 Å
α = 60.00°, β = 60.00°, γ = 60.00°
With the nearest neighbours (Å) after each atom.
Positions (direct):
Rb: 0.0000 0.0000 0.0000  8 K 4.09
K: 0.2500 0.2500 0.2500  4 Zr 4.09, 4 Rb 4.09
K: 0.7500 0.7500 0.7500  4 Zr 4.09, 4 Rb 4.09
Zr: 0.5000 0.5000 0.5000  8 K 4.09

Properties
* uncorrected energy: -1.947 eV per atom
* ΔH_f (0 K): 0.98 eV/atom
* space group: Fm-3m, No. 225
* E above lowest polymorph: 0.00 eV/f.u.

---

[8]
The following is a DFT calculation (PBE) of a relaxed structure of K2Re.

a = 6.2101 Å, b = 6.2101 Å, c = 6.2101 Å
α = 154.68°, β = 123.97°, γ = 62.44°
With the nearest neighbours (Å) after each atom.
Positions (direct):
K: 0.3383 0.3383 0.0000  2 K 2.72
Re: 0.0000 0.0000 0.0000  2 Re 2.72
K: 0.6617 0.6617 0.0000  2 K 2.72

Properties
* uncorrected energy: -3.325 eV per atom
* ΔH_f (0 K): 1.56 eV/atom
* space group: Immm, No. 71
* E above lowest polymorph: 2.20 eV/f.u.

---

[9]
The following is a DFT calculation (PBE) of a relaxed structure of K3Re.

a = 7.1263 Å, b = 7.1263 Å, c = 2.9072 Å
α = 90.00°, β = 90.00°, γ = 118.32°
With the nearest neighbours (Å) after each atom.
Positions (direct):
K: 0.0000 0.5000 0.5000  2 K 2.91
K: 0.5000 0.5000 0.0000  2 K 2.91
Re: 0.0000 0.0000 0.0000  2 Re 2.91
K: 0.5000 0.0000 0.5000  2 K 2.91

Properties
* uncorrected energy: -2.461 eV per atom
* ΔH_f (0 K): 1.47 eV/atom
* space group: Cmmm, No. 65
* E above lowest polymorph: 0.48 eV/f.u.

---

[10]
The following is a DFT calculation (PBE) of a relaxed structure of K3Re.

a = 5.5606 Å, b = 5.5606 Å, c = 5.5387 Å
α = 90.00°, β = 90.00°, γ = 90.00°
With the nearest neighbours (Å) after each atom.
Positions (direct):
Re: 0.0000 0.5000 0.5000  12 K 3.92-3.93
K: 0.0000 0.0000 0.0000  4 Re 3.92, 8 K 3.92-3.93
K: 0.5000 0.5000 0.0000  8 K 3.92-3.93, 4 Re 3.92
K: 0.5000 0.0000 0.5000  8 K 3.92, 4 Re 3.93

Properties
* uncorrected energy: -2.423 eV per atom
* ΔH_f (0 K): 1.51 eV/atom
* space group: P4/mmm, No. 123
* E above lowest polymorph: 0.64 eV/f.u.

---

[11]
The following is a DFT calculation (PBE) of a relaxed structure of KRe5.

a = 5.4101 Å, b = 5.4101 Å, c = 4.4758 Å
α = 90.00°, β = 90.00°, γ = 131.91°
With the nearest neighbours (Å) after each atom.
Positions (direct):
K: 0.5000 0.5000 0.0000  8 Re 2.79-2.84
Re: 0.6691 0.3309 0.5000  6 Re 2.68-2.77, 2 K 2.79
Re: 0.8187 0.1813 0.0000  6 Re 2.59-2.87, 2 K 2.84
Re: 0.1813 0.8187 0.0000  6 Re 2.59-2.87, 2 K 2.84
Re: 0.0000 0.0000 0.5000  8 Re 2.77-2.87
Re: 0.3309 0.6691 0.5000  6 Re 2.68-2.77, 2 K 2.79

Properties
* uncorrected energy: -9.434 eV per atom
* ΔH_f (0 K): 1.12 eV/atom
* space group: Cmmm, No. 65
* E above lowest polymorph: 2.35 eV/f.u.

---

[12]
The following is a DFT calculation (PBE) of a relaxed structure of K3Re.

a = 6.4664 Å, b = 6.4664 Å, c = 6.4664 Å
α = 127.05°, β = 127.05°, γ = 78.17°
With the nearest neighbours (Å) after each atom.
Positions (direct):
K: 0.7500 0.2500 0.5000  4 Re 3.82, 8 K 3.82-4.08
Re: 0.0000 0.0000 0.0000  12 K 3.82-4.08
K: 0.2500 0.7500 0.5000  8 K 3.82-4.08, 4 Re 3.82
K: 0.5000 0.5000 0.0000  8 K 3.82, 4 Re 4.08

Properties
* uncorrected energy: -2.443 eV per atom
* ΔH_f (0 K): 1.49 eV/atom
* space group: I4/mmm, No. 139
* E above lowest polymorph: 0.55 eV/f.u.